A relaxed YSiF2 crystal. Source: Alexandria, functional PBE.

Summary:
* formation energy from raw total energies: -1.480 eV per atom
* theoretical density: 4.18 g/cm³
* space group: Fm-3m, No. 225

Unit cell a=4.433 b=4.433 c=4.433 alpha=60.00 beta=60.00 gamma=60.00
Atoms (fractional coordinates):
F 0.250 0.250 0.250
F 0.750 0.750 0.750
Y 0.500 0.500 0.500
Si 0.000 0.000 0.000